[1]
The following is a PBE calculation of MnCdSnBi2 after structural relaxation, from Alexandria.

Unit cell a=5.505 b=5.505 c=4.890 alpha=90.00 beta=90.00 gamma=90.00
Positions (direct):
Mn 0.000 0.000 0.000
Cd 0.000 0.000 0.500
Sn 0.500 0.500 0.000
Bi 0.000 0.500 0.500
Bi 0.500 0.000 0.500

Output
* spin magnetization: 4.31 μB/f.u.


[2]
The following is a PBE calculation of Sr2MnCdBi after structural relaxation, from Alexandria.

Unit cell a=5.998 b=5.998 c=5.062 alpha=90.00 beta=90.00 gamma=90.00
Positions (direct):
Sr 0.000 0.500 0.000
Sr 0.500 0.000 0.000
Mn 0.000 0.000 0.000
Cd 0.500 0.500 0.500
Bi 0.000 0.000 0.500

Output
* spin magnetization: 2.92 μB/f.u.


[3]
The following is a PBE calculation of SrMnCd2Bi after structural relaxation, from Alexandria.

Unit cell a=5.836 b=5.836 c=5.234 alpha=90.00 beta=90.00 gamma=90.00
Positions (direct):
Sr 0.000 0.000 0.000
Mn 0.500 0.500 0.000
Cd 0.000 0.500 0.500
Cd 0.500 0.000 0.500
Bi 0.500 0.500 0.500

Output
* spin magnetization: 3.98 μB/f.u.


[4]
The following is a PBE calculation of TiMn2CdBi after structural relaxation, from Alexandria.

Unit cell a=4.586 b=4.586 c=5.341 alpha=90.00 beta=90.00 gamma=90.00
Positions (direct):
Ti 0.000 0.000 0.000
Mn 0.000 0.500 0.000
Mn 0.500 0.000 0.000
Cd 0.000 0.000 0.500
Bi 0.500 0.500 0.500

Output
* spin magnetization: 5.04 μB/f.u.


| no. | DFT total energy (eV per cell) | energy of formation from the pure elements (eV/atom) |
| --- | --- | --- |
| 1 | -17.75 | 0.82 |
| 2 | -16.91 | 0.08 |
| 3 | -14.51 | 0.41 |
| 4 | -26.68 | 0.87 |